1.
Here is an optimized crystal structure of Ba2AsF from Alexandria via LeMat-Bulk. Energies are from PBE-GGA.

a b c (Å): 6.437 6.437 14.576
angles (deg): 90.00 90.00 90.00
Space group I-42d (No. 122)
One atom of each set of equivalent atoms:
Ba 0.202 0.250 0.125 x8
As 0.000 0.000 0.500 x4
F 0.000 0.000 0.000 x4

Results
* formation energy without anion corrections: -7.6 eV/f.u.
* total moment: 0.000 μB per atom
* electronic total energy: -18.007 eV per formula unit
* D(E_F): 0.0 states/eV per cell

---

2.
Here is an optimized crystal structure of Ac2Pr6Ho from Alexandria via LeMat-Bulk. Energies are from PBE-GGA.

a b c (Å): 15.731 10.320 9.378
angles (deg): 90.00 117.91 90.00
Space group C2/c (No. 15)
One atom of each set of equivalent atoms:
Ac 0.092 0.081 0.177 x8
Pr 0.082 0.422 0.165 x8
Pr 0.164 0.253 0.581 x8
Pr 0.239 0.410 0.987 x8
Ho 0.000 0.255 0.750 x4

Results
* total moment: 0.000 μB per atom
* electronic total energy: -40.744 eV per formula unit
* D(E_F): 54.6 states/eV per cell
* energy of formation: 0.081 eV/atom